1.
Computed, not measured: an optimized crystal structure of CaAcSiPd at the PBE level of DFT.

Geometry as POSCAR:
```
CaAcSiPd
1.0
5.256 0.000 0.000
2.628 4.552 0.000
2.628 1.517 4.292
Ac Si Ca Pd
1 1 1 1
Direct
0.000 0.000 0.000
0.750 0.750 0.750
0.500 0.500 0.500
0.250 0.250 0.250
```

Computed properties:
DOS at the Fermi energy in states/eV/atom: 0.59
ΔE_f (raw) in eV/atom: -0.5322



2.
Computed, not measured: an optimized crystal structure of YCu3As at the PBE level of DFT.

Geometry as POSCAR:
```
YCu3As
1.0
4.987 0.000 0.000
0.000 4.987 0.000
0.000 0.000 4.987
Y As Cu
1 1 3
Direct
0.000 0.000 0.000
0.500 0.500 0.500
0.000 0.500 0.000
0.000 0.000 0.500
0.500 0.000 0.000
```

Computed properties:
DOS at the Fermi energy in states/eV/atom: 0.61
Formation energy in eV/atom: 1.355



3.
Computed, not measured: an optimized crystal structure of Y3HoTh at the PBE level of DFT.

Geometry as POSCAR:
```
Y3HoTh
1.0
6.267 0.008 -0.014
-3.122 7.105 -5.601
-0.013 -2.148 8.980
Y Ho Th
6 2 2
Direct
0.838 0.499 0.243
0.773 0.701 0.744
0.442 0.704 0.258
0.558 0.296 0.742
0.162 0.501 0.757
0.227 0.299 0.256
0.632 0.095 0.246
0.368 0.905 0.754
0.978 0.096 0.749
0.022 0.904 0.251
```

Computed properties:
DOS at the Fermi energy in states/eV/atom: 1.66
Formation energy in eV/atom: 0.028



4.
Computed, not measured: an optimized crystal structure of Ba4AlZn at the PBE level of DFT.

Geometry as POSCAR:
```
Ba4AlZn
1.0
4.190 -0.001 0.000
0.001 4.190 0.000
-0.001 -0.001 15.247
Ba Al Zn
4 1 1
Direct
0.500 0.500 0.871
0.500 0.500 0.129
0.000 0.000 0.627
0.000 0.000 0.373
0.000 0.000 0.000
0.500 0.500 0.500
```

Computed properties:
DOS at the Fermi energy in states/eV/atom: 0.93
Formation energy in eV/atom: -0.105



5.
Computed, not measured: an optimized crystal structure of RbHg2Os at the PBE level of DFT.

Geometry as POSCAR:
```
RbHg2Os
1.0
6.041 0.000 0.000
0.000 6.041 0.000
3.020 3.020 8.492
Os Hg Rb
2 4 2
Direct
0.000 0.000 0.000
0.750 0.250 0.500
0.819 0.125 0.250
0.931 0.625 0.250
0.375 0.181 0.750
0.875 0.069 0.750
0.500 0.500 0.000
0.250 0.750 0.500
```

Computed properties:
DOS at the Fermi energy in states/eV/atom: 0.76
Formation energy in eV/atom: 0.827



6.
Computed, not measured: an optimized crystal structure of AcInTcO6 at the PBE level of DFT.

Geometry as POSCAR:
```
AcInTcO6
1.0
5.487 0.000 0.000
2.743 4.751 0.000
0.000 0.000 5.254
Ac In Tc O
1 1 1 6
Direct
0.000 0.000 0.000
0.667 0.667 0.500
0.333 0.333 0.500
0.033 0.354 0.289
0.354 0.033 0.711
0.613 0.354 0.711
0.033 0.613 0.711
0.354 0.613 0.289
0.613 0.033 0.289
```

Computed properties:
DOS at the Fermi energy in states/eV/atom: 0.45
ΔE_f (raw) in eV/atom: -1.9524



7.
Computed, not measured: an optimized crystal structure of BeRuBr2 at the PBE level of DFT.

Geometry as POSCAR:
```
BeRuBr2
1.0
-0.056 -0.760 3.216
-2.832 -1.647 -0.438
4.063 -6.592 -1.486
Ru Br Be
1 2 1
Direct
0.000 0.000 0.584
0.000 0.000 0.894
0.500 0.500 0.360
0.500 0.500 0.662
```

Computed properties:
DOS at the Fermi energy in states/eV/atom: 0.43
ΔE_f (raw) in eV/atom: 0.2045



8.
Computed, not measured: an optimized crystal structure of Ce2ZrPa at the PBE level of DFT.

Geometry as POSCAR:
```
Ce2ZrPa
1.0
-0.552 3.980 -2.460
-3.853 0.970 2.434
2.563 2.297 3.142
Pa Zr Ce
1 1 2
Direct
0.500 0.000 0.000
0.500 0.500 0.500
0.000 0.000 0.500
0.000 0.500 0.000
```

Computed properties:
DOS at the Fermi energy in states/eV/atom: 2.35
Formation energy in eV/atom: 0.144



9.
Computed, not measured: an optimized crystal structure of CdCCl2 at the PBE level of DFT.

Geometry as POSCAR:
```
CdCCl2
1.0
1.897 0.000 9.243
-0.948 1.643 9.243
-0.948 -1.643 9.243
C Cl Cd
1 2 1
Direct
0.500 0.500 0.500
0.882 0.882 0.882
0.118 0.118 0.118
0.000 0.000 0.000
```

Computed properties:
DOS at the Fermi energy in states/eV/atom: 0.28
ΔE_f (raw) in eV/atom: 1.1040



10.
Computed, not measured: an optimized crystal structure of LiSbCl2 at the PBE level of DFT.

Geometry as POSCAR:
```
LiSbCl2
1.0
-1.489 -5.196 -6.200
3.825 -5.577 -4.682
-1.830 3.405 7.260
Cl Li Sb
2 1 1
Direct
0.000 0.000 0.000
0.250 0.750 0.500
0.500 0.500 0.000
0.750 0.250 0.500
```

Computed properties:
DOS at the Fermi energy in states/eV/atom: 0.58
ΔE_f (raw) in eV/atom: -0.5721



11.
Computed, not measured: an optimized crystal structure of Rh3SeN at the PBE level of DFT.

Geometry as POSCAR:
```
Rh3SeN
1.0
4.132 0.000 0.000
0.000 4.132 0.000
0.000 0.000 4.132
Rh Se N
3 1 1
Direct
0.000 0.500 0.000
0.000 0.000 0.500
0.500 0.000 0.000
0.500 0.500 0.500
0.000 0.000 0.000
```

Computed properties:
DOS at the Fermi energy in states/eV/atom: 1.45
ΔE_f (raw) in eV/atom: 0.3773



12.
Computed, not measured: an optimized crystal structure of LaNd2TmBi5 at the PBE level of DFT.

Geometry as POSCAR:
```
LaNd2TmBi5
1.0
5.378 0.000 0.000
0.000 5.378 0.000
0.000 0.000 12.210
La Nd Tm Bi
1 2 1 5
Direct
0.000 0.000 0.000
0.500 0.500 0.270
0.500 0.500 0.730
0.000 0.000 0.500
0.000 0.500 0.500
0.500 0.000 0.500
0.000 0.000 0.748
0.000 0.000 0.252
0.500 0.500 0.000
```

Computed properties:
DOS at the Fermi energy in states/eV/atom: 0.81
Formation energy in eV/atom: -0.218



13.
Computed, not measured: an optimized crystal structure of InGa2Pb at the PBE level of DFT.

Geometry as POSCAR:
```
InGa2Pb
1.0
-1.212 -0.537 2.987
0.519 -5.781 -0.828
9.519 0.386 3.932
In Ga Pb
2 4 2
Direct
0.750 0.815 0.210
0.250 0.185 0.790
0.750 0.140 0.428
0.250 0.860 0.572
0.750 0.486 0.617
0.250 0.514 0.383
0.750 0.711 0.897
0.250 0.289 0.103
```

Computed properties:
DOS at the Fermi energy in states/eV/atom: 0.44
Formation energy in eV/atom: 0.057



14.
Computed, not measured: an optimized crystal structure of Dy3TmTe at the PBE level of DFT.

Geometry as POSCAR:
```
Dy3TmTe
1.0
5.750 0.000 0.000
-2.875 5.979 0.562
0.000 0.063 9.076
Dy Tm Te
6 2 2
Direct
0.059 0.119 0.158
0.941 0.881 0.842
0.626 0.252 0.864
0.374 0.748 0.136
0.861 0.722 0.456
0.139 0.278 0.544
0.421 0.841 0.651
0.579 0.159 0.349
0.214 0.428 0.868
0.786 0.572 0.132
```

Computed properties:
DOS at the Fermi energy in states/eV/atom: 1.09
ΔE_f (raw) in eV/atom: -0.3331



15.
Computed, not measured: an optimized crystal structure of HoSc2Os at the PBE level of DFT.

Geometry as POSCAR:
```
HoSc2Os
1.0
3.251 0.000 0.000
0.000 3.251 0.000
0.000 0.000 8.492
Sc Os Ho
2 1 1
Direct
0.000 0.000 0.819
0.000 0.000 0.181
0.500 0.500 0.000
0.500 0.500 0.500
```

Computed properties:
DOS at the Fermi energy in states/eV/atom: 0.82
Formation energy in eV/atom: -0.241



16.
Computed, not measured: an optimized crystal structure of TaNb2Br at the PBE level of DFT.

Geometry as POSCAR:
```
TaNb2Br
1.0
3.603 -2.592 1.605
3.170 1.919 2.923
0.129 -1.312 4.532
Nb Br Ta
2 1 1
Direct
0.250 0.250 0.250
0.750 0.750 0.750
0.000 0.000 0.000
0.500 0.500 0.500
```

Computed properties:
DOS at the Fermi energy in states/eV/atom: 1.18
ΔE_f (raw) in eV/atom: 0.7167



17.
Computed, not measured: an optimized crystal structure of NaMnS2 at the PBE level of DFT.

Geometry as POSCAR:
```
NaMnS2
1.0
3.595 0.000 0.000
1.798 3.114 0.000
1.798 1.038 6.694
Na Mn S
1 1 2
Direct
0.499 0.499 0.502
0.667 0.667 0.999
0.067 0.067 0.799
0.267 0.267 0.200
```

Computed properties:
DOS at the Fermi energy in states/eV/atom: 0.56
ΔE_f (raw) in eV/atom: -0.7800



18.
Computed, not measured: an optimized crystal structure of YHoBeAl at the PBE level of DFT.

Geometry as POSCAR:
```
YHoBeAl
1.0
4.975 0.000 0.000
2.488 4.309 0.000
2.488 1.436 4.062
Y Be Ho Al
1 1 1 1
Direct
0.500 0.500 0.500
0.250 0.250 0.250
0.000 0.000 0.000
0.750 0.750 0.750
```

Computed properties:
DOS at the Fermi energy in states/eV/atom: 0.81
Formation energy in eV/atom: -0.145



19.
Computed, not measured: an optimized crystal structure of SmY7Tm4 at the PBE level of DFT.

Geometry as POSCAR:
```
SmY7Tm4
1.0
6.639 1.345 0.596
4.406 7.229 2.157
-1.272 -0.506 8.942
Sm Y Tm
1 7 4
Direct
0.000 0.000 0.000
0.736 0.516 0.951
0.264 0.484 0.049
0.988 0.316 0.640
0.012 0.684 0.360
0.297 0.808 0.613
0.500 0.000 0.000
0.703 0.192 0.387
0.549 0.643 0.287
0.451 0.357 0.713
0.774 0.839 0.687
0.226 0.161 0.313
```

Computed properties:
DOS at the Fermi energy in states/eV/atom: 1.86
Formation energy in eV/atom: 0.090



20.
Computed, not measured: an optimized crystal structure of CeTm2In2 at the PBE level of DFT.

Geometry as POSCAR:
```
CeTm2In2
1.0
5.248 0.000 0.000
-2.624 4.545 0.000
0.000 0.000 6.432
Ce Tm In
1 2 2
Direct
0.000 0.000 0.000
0.333 0.667 0.660
0.667 0.333 0.340
0.333 0.667 0.184
0.667 0.333 0.816
```

Computed properties:
DOS at the Fermi energy in states/eV/atom: 1.89
Formation energy in eV/atom: -0.134



21.
Computed, not measured: an optimized crystal structure of KMgCd at the PBE level of DFT.

Geometry as POSCAR:
```
KMgCd
1.0
3.621 0.000 0.000
-1.810 3.135 0.000
0.000 0.000 8.527
Cd K Mg
1 1 1
Direct
0.000 0.000 0.974
0.667 0.333 0.323
0.333 0.667 0.703
```

Computed properties:
DOS at the Fermi energy in states/eV/atom: 0.33
Formation energy in eV/atom: 0.162



| no. | size of the total moment (μB/cell) |
| --- | --- |
| 1 | 0.00 |
| 2 | 0.00 |
| 3 | 0.00 |
| 4 | 0.00 |
| 5 | 1.93 |
| 6 | 1.01 |
| 7 | 1.90 |
| 8 | 0.00 |
| 9 | 0.00 |
| 10 | 0.74 |
| 11 | 1.29 |
| 12 | 0.00 |
| 13 | 0.00 |
| 14 | 0.00 |
| 15 | 0.00 |
| 16 | 0.00 |
| 17 | 4.01 |
| 18 | 0.00 |
| 19 | 0.00 |
| 20 | 0.73 |
| 21 | 0.00 |